Zn2TeRh: optimized geometry, PBE.

Results
The calculation puts the size of the total moment at 0.0 μB per cell. As for the crystal system: monoclinic. The uncorrected formation energy is -0.152 eV/atom.

abc: 8.2304 3.4364 5.8040
angles: 90.00 91.85 90.00
Closest atoms and distances in Å follow each position.
Space group Cm (No. 8)
Inequivalent atoms, fractional coordinates:
Zn  0.0000  0.0000  0.0000  3 Zn 2.50-2.64, 3 Rh 2.57-2.63
Zn  0.2134  0.5000  0.8438  3 Zn 2.50-2.64, 2 Rh 2.61, 1 Te 2.66
Te  0.1112  0.5000  0.4050  1 Zn 2.66, 3 Rh 2.69-2.92
Rh  0.2931  0.0000  0.1667  5 Zn 2.57-2.63, 2 Te 2.69